Entry 1:
A plane-wave DFT calculation with PBE was carried out for a geometry-optimized Tb4AlZn structure.

ΔE_f in meV/atom: -220
V in Å³ per atom: 26.7
Space group: No. 123
Energy relative to the lowest polymorph listed for this composition in meV/atom: 0

Unit cell a=3.558 b=3.558 c=12.633 alpha=90.00 beta=90.00 gamma=90.00
Positions (direct):
Tb1 0.000 0.000 0.142
Tb2 0.000 0.000 0.858
Tb3 0.500 0.500 0.349
Tb4 0.500 0.500 0.651
Al1 0.000 0.000 0.500
Zn1 0.500 0.500 0.000

Entry 2:
A plane-wave DFT calculation with PBE was carried out for a geometry-optimized TbAl2Zn9 structure.

ΔE_f in meV/atom: -141
V in Å³ per atom: 16.3
Space group: No. 141
Energy relative to the lowest polymorph listed for this composition in meV/atom: 0

Unit cell a=8.257 b=8.257 c=8.257 alpha=100.43 beta=100.43 gamma=129.63
Positions (direct):
Tb1 0.375 0.625 0.750
Tb2 0.625 0.375 0.250
Al1 0.000 0.000 0.000
Al2 0.000 0.000 0.500
Al3 0.000 0.500 0.000
Al4 0.500 0.000 0.500
Zn1 0.125 0.875 0.250
Zn2 0.128 0.552 0.335
Zn3 0.128 0.793 0.576
Zn4 0.207 0.283 0.335
Zn5 0.207 0.872 0.924
Zn6 0.283 0.207 0.835
Zn7 0.283 0.448 0.076
Zn8 0.448 0.283 0.576
Zn9 0.448 0.872 0.165
Zn10 0.552 0.128 0.835
Zn11 0.552 0.717 0.424
Zn12 0.717 0.552 0.924
Zn13 0.717 0.793 0.165
Zn14 0.793 0.128 0.076
Zn15 0.793 0.717 0.665
Zn16 0.872 0.207 0.424
Zn17 0.872 0.448 0.665
Zn18 0.875 0.125 0.750

Entry 3:
A plane-wave DFT calculation with PBE was carried out for a geometry-optimized TbAl7Zn5 structure.

ΔE_f in meV/atom: -94
V in Å³ per atom: 16.9
Space group: No. 44

Unit cell a=7.034 b=7.034 c=7.034 alpha=137.18 beta=97.32 gamma=97.99
Positions (direct):
Tb1 0.000 0.000 0.000
Al1 0.210 0.710 0.500
Al2 0.211 0.495 0.716
Al3 0.348 0.993 0.355
Al4 0.351 0.351 0.000
Al5 0.638 0.993 0.645
Al6 0.640 0.640 0.000
Al7 0.779 0.495 0.284
Zn1 0.498 0.495 0.503
Zn2 0.498 0.995 0.003
Zn3 0.781 0.281 0.500
Zn4 0.992 0.495 0.997
Zn5 0.992 0.995 0.497

no.,total energy (eV per atom)
1,-4.14
2,-2.11
3,-2.96